# Dy4Ga12Pd

A crystal of Dy4Ga12Pd relaxed with PBEsol (SCAN, Alexandria via LeMat-Bulk).

Cell lengths 8.4840, 8.4840, 8.4840 Å; angles 90.00, 90.00, 90.00 degrees
Space group Im-3m (No. 229)
One atom of each set of equivalent atoms:
Dy  0.2500  0.2500  0.2500
Ga  0.0000  0.0000  0.2969
Ga  0.0000  0.2500  0.5000
Pd  0.0000  0.0000  0.0000

**Calculated volume**: 610.7 Å³/cell
**ΔH_f (0 K)**: -0.692 eV/atom
**Total DFT energy (no corrections)**: -25.405 eV/atom
**Mass density**: 8664 kg/m³

---

# DyGaPt

A crystal of DyGaPt relaxed with PBEsol (SCAN, Alexandria via LeMat-Bulk).

Cell lengths 6.8080, 4.3784, 7.5759 Å; angles 90.00, 90.00, 90.00 degrees
Space group Pnma (No. 62)
One atom of each set of equivalent atoms:
Dy  0.0158  0.2500  0.1974
Ga  0.1708  0.2500  0.5754
Pt  0.2234  0.7500  0.4018

**Calculated volume**: 225.8 Å³/cell
**ΔH_f (0 K)**: -1.330 eV/atom
**Total DFT energy (no corrections)**: -46.109 eV/atom
**Mass density**: 12568 kg/m³

---

# Dy4Ga12Pt

A crystal of Dy4Ga12Pt relaxed with PBEsol (SCAN, Alexandria via LeMat-Bulk).

Cell lengths 8.4787, 8.4787, 8.4787 Å; angles 90.00, 90.00, 90.00 degrees
Space group Im-3m (No. 229)
One atom of each set of equivalent atoms:
Dy  0.2500  0.2500  0.2500
Ga  0.0000  0.0000  0.2980
Ga  0.0000  0.2500  0.5000
Pt  0.0000  0.0000  0.0000

**Calculated volume**: 609.5 Å³/cell
**ΔH_f (0 K)**: -0.725 eV/atom
**Total DFT energy (no corrections)**: -27.639 eV/atom
**Mass density**: 9163 kg/m³

---

# Dy6Ga19Pt3

A crystal of Dy6Ga19Pt3 relaxed with PBEsol (SCAN, Alexandria via LeMat-Bulk).

Cell lengths 15.6617, 4.1555, 15.6597 Å; angles 90.00, 101.21, 90.00 degrees
Space group Cm (No. 8)
One atom of each set of equivalent atoms:
Dy  0.0000  0.0000  0.0000
Dy  0.0006  0.5000  0.4994
Dy  0.1620  0.0000  0.8414
Dy  0.1645  0.5000  0.3414
Dy  0.3212  0.0000  0.6794
Dy  0.3227  0.5000  0.1782
Ga  0.0166  0.5000  0.8606
Ga  0.0192  0.0000  0.3592
Ga  0.0868  0.5000  0.1343
Ga  0.0930  0.0000  0.6374
Ga  0.1397  0.0000  0.4858
Ga  0.1401  0.5000  0.9865
Ga  0.1815  0.5000  0.7002
Ga  0.1824  0.0000  0.1918
Ga  0.2275  0.5000  0.5492
Ga  0.2358  0.0000  0.0436
Ga  0.3057  0.0000  0.4834
Ga  0.3071  0.0000  0.3166
Ga  0.3088  0.5000  0.8194
Ga  0.3669  0.0000  0.9139
Ga  0.3701  0.5000  0.4061
Ga  0.4109  0.0000  0.0890
Ga  0.4177  0.5000  0.5957
Ga  0.4582  0.0000  0.2648
Ga  0.4578  0.5000  0.7705
Pt  0.0185  0.5000  0.6967
Pt  0.0236  0.0000  0.2008
Pt  0.3000  0.5000  0.9783

**Calculated volume**: 999.7 Å³/cell
**ΔH_f (0 K)**: -0.742 eV/atom
**Total DFT energy (no corrections)**: -29.597 eV/atom
**Mass density**: 9584 kg/m³

---

# DyGaRh2

A crystal of DyGaRh2 relaxed with PBEsol (SCAN, Alexandria via LeMat-Bulk).

Cell lengths 6.3431, 6.3431, 6.3431 Å; angles 90.00, 90.00, 90.00 degrees
Space group Fm-3m (No. 225)
One atom of each set of equivalent atoms:
Dy  0.0000  0.0000  0.0000
Ga  0.0000  0.0000  0.5000
Rh  0.2500  0.2500  0.2500

**Calculated volume**: 255.2 Å³/cell
**ΔH_f (0 K)**: -0.913 eV/atom
**Total DFT energy (no corrections)**: -33.834 eV/atom
**Mass density**: 11400 kg/m³

---

# Dy3Ga8Rh3

A crystal of Dy3Ga8Rh3 relaxed with PBEsol (SCAN, Alexandria via LeMat-Bulk).

Cell lengths 4.1315, 9.6258, 12.1669 Å; angles 90.00, 90.00, 90.00 degrees
Space group Immm (No. 71)
One atom of each set of equivalent atoms:
Dy  0.0000  0.0000  0.0000
Dy  0.0000  0.0000  0.3284
Ga  0.0000  0.2826  0.1233
Ga  0.0000  0.3698  0.3304
Rh  0.0000  0.2193  0.5000
Rh  0.0000  0.5000  0.0000

**Calculated volume**: 483.9 Å³/cell
**ΔH_f (0 K)**: -0.829 eV/atom
**Total DFT energy (no corrections)**: -27.648 eV/atom
**Mass density**: 9294 kg/m³

---

# Dy2Ga9Rh3

A crystal of Dy2Ga9Rh3 relaxed with PBEsol (SCAN, Alexandria via LeMat-Bulk).

Cell lengths 12.8536, 7.4661, 9.3725 Å; angles 90.00, 90.00, 90.00 degrees
Space group Cmcm (No. 63)
One atom of each set of equivalent atoms:
Dy  0.1639  0.1663  0.2500
Ga  0.0000  0.1276  0.7500
Ga  0.0000  0.3331  0.0654
Ga  0.1046  0.4433  0.7500
Ga  0.1669  0.1680  0.5795
Rh  0.0000  0.0000  0.0000
Rh  0.1716  0.5000  0.0000

**Calculated volume**: 899.4 Å³/cell
**ΔH_f (0 K)**: -0.822 eV/atom
**Total DFT energy (no corrections)**: -25.395 eV/atom
**Mass density**: 9314 kg/m³

---

# DyGa3Ru

A crystal of DyGa3Ru relaxed with PBEsol (SCAN, Alexandria via LeMat-Bulk).

Cell lengths 6.3274, 6.3274, 6.3274 Å; angles 90.00, 90.00, 90.00 degrees
Space group Pm-3m (No. 221)
One atom of each set of equivalent atoms:
Dy  0.0000  0.0000  0.5000
Ga  0.0000  0.0000  0.0000
Ga  0.2893  0.2893  0.2893
Ru  0.0000  0.5000  0.5000

**Calculated volume**: 253.3 Å³/cell
**ΔH_f (0 K)**: -0.693 eV/atom
**Total DFT energy (no corrections)**: -27.026 eV/atom
**Mass density**: 9296 kg/m³

---

# Dy4GaSbS9

A crystal of Dy4GaSbS9 relaxed with PBEsol (SCAN, Alexandria via LeMat-Bulk).

Cell lengths 13.3343, 13.5975, 13.9002 Å; angles 90.00, 90.00, 90.00 degrees
Space group Aea2 (No. 41)
One atom of each set of equivalent atoms:
Dy  0.1012  0.1736  0.0000
Dy  0.1033  0.1088  0.5476
Dy  0.1841  0.1665  0.2809
Dy  0.1853  0.3911  0.5079
Ga  0.0912  0.3948  0.7718
Sb  0.1132  0.4158  0.2385
S  0.0000  0.0000  0.3676
S  0.0000  0.0000  0.9919
S  0.0114  0.1977  0.1781
S  0.0674  0.2534  0.4226
S  0.0825  0.0952  0.7453
S  0.1003  0.4070  0.0612
S  0.1915  0.3010  0.8680
S  0.1977  0.4894  0.6821
S  0.2432  0.2341  0.6140
S  0.2469  0.0576  0.9276

**Calculated volume**: 2520.3 Å³/cell
**Total DFT energy (no corrections)**: -23.853 eV/atom
**Mass density**: 5957 kg/m³
**ΔE_f (raw)**: -26.3 eV/f.u.

---

# GdDy

A crystal of GdDy relaxed with PBEsol (SCAN, Alexandria via LeMat-Bulk).

Cell lengths 3.5304, 3.5304, 5.6068 Å; angles 90.00, 90.00, 120.00 degrees
Space group P-6m2 (No. 187)
One atom of each set of equivalent atoms:
Gd  0.0000  0.0000  0.0000
Dy  0.6667  0.3333  0.5000

**Calculated volume**: 60.5 Å³/cell
**ΔH_f (0 K)**: -0.002 eV/atom
**Total DFT energy (no corrections)**: -53.308 eV/atom
**Mass density**: 8773 kg/m³

---

# GdDyIr2

A crystal of GdDyIr2 relaxed with PBEsol (SCAN, Alexandria via LeMat-Bulk).

Cell lengths 6.7827, 6.7827, 6.7827 Å; angles 90.00, 90.00, 90.00 degrees
Space group Fm-3m (No. 225)
One atom of each set of equivalent atoms:
Gd  0.0000  0.0000  0.0000
Dy  0.0000  0.0000  0.5000
Ir  0.2500  0.2500  0.2500

**Calculated volume**: 312.0 Å³/cell
**ΔH_f (0 K)**: -0.898 eV/atom
**Total DFT energy (no corrections)**: -63.101 eV/atom
**Mass density**: 14989 kg/m³

---

# GdDyNi2

A crystal of GdDyNi2 relaxed with PBEsol (SCAN, Alexandria via LeMat-Bulk).

Cell lengths 4.1997, 3.6315, 10.0146 Å; angles 90.00, 90.00, 90.00 degrees
Space group Amm2 (No. 38)
One atom of each set of equivalent atoms:
Gd  0.0000  0.0000  0.0000
Dy  0.5000  0.0000  0.2783
Ni  0.0000  0.0000  0.7138
Ni  0.5000  0.0000  0.5668

**Calculated volume**: 152.7 Å³/cell
**ΔH_f (0 K)**: -0.396 eV/atom
**Total DFT energy (no corrections)**: -35.136 eV/atom
**Mass density**: 9505 kg/m³

---

# GdDyNi2

A crystal of GdDyNi2 relaxed with PBEsol (SCAN, Alexandria via LeMat-Bulk).

Cell lengths 5.3390, 4.1574, 10.4189 Å; angles 90.00, 97.11, 90.00 degrees
Space group Pm (No. 6)
One atom of each set of equivalent atoms:
Gd  0.0000  0.0000  0.0000
Gd  0.1593  0.0000  0.6636
Gd  0.6741  0.5000  0.7573
Dy  0.3090  0.0000  0.3311
Dy  0.5215  0.5000  0.0932
Dy  0.8302  0.5000  0.4229
Ni  0.0377  0.5000  0.1888
Ni  0.2065  0.5000  0.8545
Ni  0.3590  0.5000  0.5177
Ni  0.4720  0.0000  0.9043
Ni  0.6291  0.0000  0.5662
Ni  0.7911  0.0000  0.2373

**Calculated volume**: 229.5 Å³/cell
**ΔH_f (0 K)**: -0.397 eV/atom
**Total DFT energy (no corrections)**: -35.137 eV/atom
**Mass density**: 9489 kg/m³

---

# Dy5Ge3

A crystal of Dy5Ge3 relaxed with PBEsol (SCAN, Alexandria via LeMat-Bulk).

Cell lengths 8.3929, 8.3929, 6.3032 Å; angles 90.00, 90.00, 120.00 degrees
Space group P6_3/mcm (No. 193)
One atom of each set of equivalent atoms:
Dy  0.0000  0.2418  0.2500
Dy  0.3333  0.6667  0.0000
Ge  0.0000  0.3944  0.7500

**Calculated volume**: 384.5 Å³/cell
**ΔH_f (0 K)**: -0.866 eV/atom
**Total DFT energy (no corrections)**: -37.896 eV/atom
**Mass density**: 8900 kg/m³

---

# Dy11Ge10

A crystal of Dy11Ge10 relaxed with PBEsol (SCAN, Alexandria via LeMat-Bulk).

Cell lengths 10.7468, 10.7468, 16.2241 Å; angles 90.00, 90.00, 90.00 degrees
Space group I4/mmm (No. 139)
One atom of each set of equivalent atoms:
Dy  0.0000  0.0000  0.1611
Dy  0.0000  0.2520  0.3100
Dy  0.0000  0.3230  0.1026
Dy  0.1781  0.1781  0.5000
Ge  0.0000  0.0000  0.3904
Ge  0.0000  0.3632  0.5000
Ge  0.0000  0.5000  0.2500
Ge  0.1201  0.1201  0.0000
Ge  0.2094  0.2094  0.1817

**Calculated volume**: 1873.8 Å³/cell
**ΔH_f (0 K)**: -0.924 eV/atom
**Total DFT energy (no corrections)**: -35.050 eV/atom
**Mass density**: 8911 kg/m³

---

# DyGe

A crystal of DyGe relaxed with PBEsol (SCAN, Alexandria via LeMat-Bulk).

Cell lengths 4.2299, 10.5795, 3.8954 Å; angles 90.00, 90.00, 90.00 degrees
Space group Cmcm (No. 63)
One atom of each set of equivalent atoms:
Dy  0.0000  0.1386  0.2500
Ge  0.0000  0.4154  0.2500

**Calculated volume**: 174.3 Å³/cell
**ΔH_f (0 K)**: -0.956 eV/atom
**Total DFT energy (no corrections)**: -34.398 eV/atom
**Mass density**: 8960 kg/m³

---

# Dy3Ge5

A crystal of Dy3Ge5 relaxed with PBEsol (SCAN, Alexandria via LeMat-Bulk).

Cell lengths 6.8000, 6.8000, 8.2179 Å; angles 90.00, 90.00, 120.00 degrees
Space group P-62c (No. 190)
One atom of each set of equivalent atoms:
Dy  0.0000  0.3303  0.0000
Ge  0.0000  0.0000  0.2500
Ge  0.0739  0.6680  0.2500
Ge  0.3333  0.6667  0.7500

**Calculated volume**: 329.1 Å³/cell
**ΔH_f (0 K)**: -0.791 eV/atom
**Total DFT energy (no corrections)**: -30.645 eV/atom
**Mass density**: 8585 kg/m³